# 1
Compound: NaReHg3S4
Source: the Open Quantum Materials Database
Functional: PBE
Structure: optimized geometry

a = 6.2925 Å, b = 6.2925 Å, c = 6.2925 Å
α = 90.00°, β = 90.00°, γ = 90.00°
With the nearest neighbours (Å) after each atom.
Sites, in units of the cell vectors:
1 Na 0.0000 0.0000 0.0000  4 S 2.91
2 Re 0.5000 0.5000 0.5000  4 S 2.54
3 Hg 0.0000 0.5000 0.5000  4 S 2.67
4 Hg 0.5000 0.0000 0.5000  4 S 2.67
5 Hg 0.5000 0.5000 0.0000  4 S 2.67
6 S 0.2666 0.2666 0.2666  1 Re 2.54, 3 Hg 2.67
7 S 0.2666 0.7334 0.7334  1 Re 2.54, 3 Hg 2.67
8 S 0.7334 0.2666 0.7334  1 Re 2.54, 3 Hg 2.67
9 S 0.7334 0.7334 0.2666  1 Re 2.54, 3 Hg 2.67



# 2
Compound: BaSmAuSe3
Source: the Open Quantum Materials Database
Functional: PBE
Structure: optimized geometry

a = 8.3940 Å, b = 4.2479 Å, c = 10.0815 Å
α = 90.00°, β = 106.98°, γ = 90.00°
With the nearest neighbours (Å) after each atom.
Sites, in units of the cell vectors:
1 Ba 0.2367 0.2500 0.2808  6 Se 3.28-3.33
2 Ba 0.7633 0.7500 0.7192  6 Se 3.28-3.33
3 Sm 0.3093 0.7500 0.8397  6 Se 2.93-2.96
4 Sm 0.6907 0.2500 0.1603  6 Se 2.93-2.96
5 Au 0.0979 0.2500 0.5982  3 Se 2.64-2.74
6 Au 0.9021 0.7500 0.4018  3 Se 2.64-2.74
7 Se 0.0707 0.2500 0.8523  1 Au 2.64, 2 Sm 2.95
8 Se 0.2732 0.7500 0.5421  3 Au 2.74-3.02, 1 Sm 2.93
9 Se 0.4399 0.7500 0.1430  3 Sm 2.93-2.96, 2 Ba 3.28
10 Se 0.5601 0.2500 0.8570  3 Sm 2.93-2.96, 2 Ba 3.28
11 Se 0.7268 0.2500 0.4579  3 Au 2.74-3.02, 1 Sm 2.93
12 Se 0.9293 0.7500 0.1477  1 Au 2.64, 2 Sm 2.95



# 3
Compound: ReTeNO
Source: the Open Quantum Materials Database
Functional: PBE
Structure: optimized geometry

a = 6.4186 Å, b = 7.3655 Å, c = 5.9399 Å
α = 90.00°, β = 90.00°, γ = 90.00°
With the nearest neighbours (Å) after each atom.
Sites, in units of the cell vectors:
1 Re 0.1170 0.0211 0.0000  3 N 1.92-1.94, 1 O 2.03
2 Re 0.3830 0.0211 0.5000  3 N 1.92-1.94, 1 O 2.03
3 Re 0.6170 0.9789 0.0000  3 N 1.92-1.94, 1 O 2.03
4 Re 0.8830 0.9789 0.5000  3 N 1.92-1.94, 1 O 2.03
5 Te 0.2254 0.6641 0.9938  1 O 2.02
6 Te 0.2746 0.6641 0.4938  1 O 2.02
7 Te 0.7254 0.3359 0.9938  1 O 2.02
8 Te 0.7746 0.3359 0.4938  1 O 2.02
9 N 0.1314 0.0325 0.6739  3 Re 1.92-1.94
10 N 0.3686 0.0325 0.1739  3 Re 1.92-1.94
11 N 0.6314 0.9675 0.6739  3 Re 1.92-1.94
12 N 0.8686 0.9675 0.1739  3 Re 1.92-1.94
13 O 0.0334 0.2861 0.0177  1 Te 2.02, 1 Re 2.03
14 O 0.4666 0.2861 0.5177  1 Te 2.02, 1 Re 2.03
15 O 0.5334 0.7139 0.0177  1 Te 2.02, 1 Re 2.03
16 O 0.9666 0.7139 0.5177  1 Te 2.02, 1 Re 2.03

Offset from the most stable computed form ... 0.010 eV/f.u.



Number 1: spin magnetization 0.54 μB per atom, energy -3.2272 eV/atom. Number 2: spin magnetization 0.00 μB per atom, energy -4.8871 eV/atom. Number 3: spin magnetization 0.00 μB per atom, energy -7.3842 eV/atom.